(1)
The following is a PBE calculation of a relaxed PrGaTe2 crystal, from the Alexandria database.

Cell: 4.4952 6.2905 8.8482 Å, 110.37 90.00 90.00°
With the nearest neighbours (Å) after each atom.
Positions (direct):
Ga1 0.2500 0.2383 0.6876  1 Te 2.75
Ga2 0.7500 0.7617 0.3124  1 Te 2.75
Pr1 0.7500 0.6326 0.7914  2 Ga 3.23, 7 Te 3.26-3.37
Pr2 0.2500 0.3674 0.2086  2 Ga 3.23, 7 Te 3.26-3.37
Te1 0.7500 0.2041 0.9242  2 Ga 3.13, 4 Pr 3.26-3.37
Te2 0.2500 0.7959 0.0758  2 Ga 3.13, 4 Pr 3.26-3.37
Te3 0.7500 0.2275 0.4287  1 Ga 2.75
Te4 0.2500 0.7725 0.5713  1 Ga 2.75

- ΔE_f (raw) (eV/atom) = -1.012
- M_tot (μB/f.u.) = 0.00
- DFT total energy (eV/cell) = -36.3
- calculated volume (Å³ per atom) = 29.3



(2)
The following is a PBE calculation of a relaxed PrGa2Te4 crystal, from the Alexandria database.

Cell: 6.7819 6.7819 6.7819 Å, 104.86 104.86 119.14°
With the nearest neighbours (Å) after each atom.
Positions (direct):
Pr1 0.5000 0.5000 0.0000  4 Te 3.21
Ga1 0.2500 0.7500 0.5000  4 Te 2.73
Ga2 0.7500 0.2500 0.5000  4 Te 2.73
Te1 0.6964 0.8345 0.5309  2 Ga 2.73
Te2 0.1655 0.6964 0.8619  2 Ga 2.73
Te3 0.3036 0.1655 0.4691  2 Ga 2.73
Te4 0.8345 0.3036 0.1381  2 Ga 2.73

- ΔE_f (raw) (eV/atom) = -0.507
- M_tot (μB/f.u.) = 0.00
- DFT total energy (eV/cell) = -26.9
- calculated volume (Å³ per atom) = 33.6



(3)
The following is a PBE calculation of a relaxed PrGaTe2 crystal, from the Alexandria database.

Cell: 4.4253 4.4253 8.3296 Å, 74.60 74.60 60.00°
With the nearest neighbours (Å) after each atom.
Positions (direct):
Te1 0.2498 0.2498 0.2506  3 Pr 3.24, 3 Ga 3.24
Te2 0.0838 0.0838 0.7486  3 Pr 3.22, 3 Ga 3.24
Pr1 0.4994 0.4994 0.5018  6 Te 3.22-3.24
Ga1 0.6670 0.6670 0.9990  6 Te 3.24

- ΔE_f (raw) (eV/atom) = -0.882
- M_tot (μB/f.u.) = 0.00
- DFT total energy (eV/cell) = -17.6
- calculated volume (Å³ per atom) = 33.6



(4)
The following is a PBE calculation of a relaxed Pr2GaTe crystal, from the Alexandria database.

Cell: 3.7761 3.7761 7.9628 Å, 90.00 90.00 90.00°
With the nearest neighbours (Å) after each atom.
Positions (direct):
Te1 0.5000 0.5000 0.5000  8 Pr 3.36
Ga1 0.5000 0.5000 0.0000  8 Pr 3.31
Pr1 0.0000 0.0000 0.7554  4 Ga 3.31, 4 Te 3.36
Pr2 0.0000 0.0000 0.2446  4 Ga 3.31, 4 Te 3.36

- relative energy among the computed polymorphs (eV/f.u.) = 0.78
- ΔE_f (raw) (eV/atom) = -0.836
- M_tot (μB/f.u.) = 0.00
- DFT total energy (eV/cell) = -19.1
- calculated volume (Å³ per atom) = 28.4